No. 1
Material: CaLa3Bi
Method: DFT, GGA-PBE
State: relaxed

The structure in CIF format:
```
data_CaLa3Bi
_cell_length_a 5.731
_cell_length_b 5.731
_cell_length_c 5.731
_cell_angle_alpha 90.00
_cell_angle_beta 90.00
_cell_angle_gamma 90.00
_space_group_name_H-M_alt 'P m -3 m'
_space_group_IT_number 221
_space_group_name_Hall '-P 4 2 3'
loop_
_atom_site_label
_atom_site_fract_x
_atom_site_fract_y
_atom_site_fract_z
Ca1 0.000 0.000 0.000
La1 0.000 0.000 0.500
Bi1 0.500 0.500 0.500
```

Computed properties:
* E_tot: -3.62 eV per atom
* M_tot: 0.00 μB per atom
* crystal system: cubic
* ρ: 5.87 g cm⁻³
* ΔE_f: 49.52 kJ per mole of atoms

---

No. 2
Material: DyHo2Tl3S6
Method: DFT, GGA-PBE
State: relaxed

The structure in CIF format:
```
data_DyHo2Tl3S6
_cell_length_a 6.960
_cell_length_b 12.056
_cell_length_c 7.872
_cell_angle_alpha 90.00
_cell_angle_beta 107.13
_cell_angle_gamma 90.00
_space_group_name_H-M_alt 'C 1 2/m 1'
_space_group_IT_number 12
loop_
_space_group_symop_operation_xyz
'x,y,z'
'-x,-y,-z'
'-x,y,-z'
'x,-y,z'
'x+1/2,y+1/2,z'
'-x+1/2,-y+1/2,-z'
'-x+1/2,y+1/2,-z'
'x+1/2,-y+1/2,z'
loop_
_atom_site_label
_atom_site_fract_x
_atom_site_fract_y
_atom_site_fract_z
Dy1 0.000 0.000 0.000
Ho1 0.000 0.333 0.000
Tl1 0.000 0.167 0.500
Tl2 0.000 0.500 0.500
S1 0.231 0.500 0.197
S2 0.233 0.167 0.197
```

Computed properties:
* E_tot: -5.29 eV per atom
* M_tot: 0.00 μB per atom
* formation energy from raw total energies: -1491 meV/atom
* crystal system: monoclinic
* ρ: 6.83 g cm⁻³

---

No. 3
Material: YTaRe2
Method: DFT, GGA-PBE
State: relaxed

The structure in CIF format:
```
data_YTaRe2
_cell_length_a 2.912
_cell_length_b 4.587
_cell_length_c 5.488
_cell_angle_alpha 90.00
_cell_angle_beta 101.31
_cell_angle_gamma 90.00
_space_group_name_H-M_alt 'P 1 m 1'
_space_group_IT_number 6
loop_
_space_group_symop_operation_xyz
'x,y,z'
'x,-y,z'
loop_
_atom_site_label
_atom_site_fract_x
_atom_site_fract_y
_atom_site_fract_z
Y1 0.000 0.000 0.000
Ta1 0.273 0.500 0.728
Re1 0.505 0.000 0.493
Re2 0.743 0.500 0.262
```

Computed properties:
* E_tot: -10.54 eV per atom
* M_tot: 0.00 μB per atom
* crystal system: monoclinic
* ρ: 14.84 g cm⁻³
* ΔE_f: 25.33 kJ per mole of atoms

---

No. 4
Material: Nd4MgCu
Method: DFT, GGA-PBE
State: relaxed

The structure in CIF format:
```
data_Nd4MgCu
_cell_length_a 4.962
_cell_length_b 4.962
_cell_length_c 8.033
_cell_angle_alpha 90.00
_cell_angle_beta 90.00
_cell_angle_gamma 90.00
_space_group_name_H-M_alt 'P 4/m m m'
_space_group_IT_number 123
_space_group_name_Hall '-P 4 2'
loop_
_atom_site_label
_atom_site_fract_x
_atom_site_fract_y
_atom_site_fract_z
Nd1 0.000 0.500 0.215
Mg1 0.000 0.000 0.500
Cu1 0.500 0.500 0.000
```

Computed properties:
* E_tot: -3.90 eV per atom
* M_tot: 0.00 μB per atom
* crystal system: tetragonal
* ρ: 5.58 g cm⁻³
* ΔE_f: 21.53 kJ per mole of atoms

---

No. 5
Material: MgGa2Si
Method: DFT, GGA-PBE
State: relaxed

The structure in CIF format:
```
data_MgGa2Si
_cell_length_a 4.149
_cell_length_b 4.149
_cell_length_c 4.117
_cell_angle_alpha 90.00
_cell_angle_beta 90.00
_cell_angle_gamma 90.00
_space_group_name_H-M_alt 'P 4/m m m'
_space_group_IT_number 123
_space_group_name_Hall '-P 4 2'
loop_
_atom_site_label
_atom_site_fract_x
_atom_site_fract_y
_atom_site_fract_z
Mg1 0.000 0.000 0.000
Ga1 0.000 0.500 0.500
Si1 0.500 0.500 0.000
```

Computed properties:
* E_tot: -3.22 eV per atom
* M_tot: 0.00 μB per atom
* formation energy from raw total energies: 46 meV/atom
* crystal system: tetragonal
* ρ: 4.49 g cm⁻³

---

No. 6
Material: K2Cd2Au
Method: DFT, GGA-PBE
State: relaxed

The structure in CIF format:
```
data_K2Cd2Au
_cell_length_a 4.688
_cell_length_b 6.699
_cell_length_c 11.929
_cell_angle_alpha 80.58
_cell_angle_beta 78.67
_cell_angle_gamma 69.60
_space_group_name_H-M_alt 'P -1'
_space_group_IT_number 2
loop_
_space_group_symop_operation_xyz
'x,y,z'
'-x,-y,-z'
loop_
_atom_site_label
_atom_site_fract_x
_atom_site_fract_y
_atom_site_fract_z
K1 0.015 0.133 0.337
K2 0.201 0.217 0.879
Cd1 0.307 0.331 0.555
Cd2 0.489 0.634 0.887
Au1 0.311 0.557 0.321
```

Computed properties:
* E_tot: -1.66 eV per atom
* M_tot: 0.00 μB per atom
* crystal system: triclinic
* ρ: 4.85 g cm⁻³
* ΔE_f: -18.85 kJ per mole of atoms

---

No. 7
Material: K2Tl6CdPb
Method: DFT, GGA-PBE
State: relaxed

The structure in CIF format:
```
data_K2Tl6CdPb
_cell_length_a 8.2874
_cell_length_b 8.2874
_cell_length_c 39.4965
_cell_angle_alpha 90.00
_cell_angle_beta 90.00
_cell_angle_gamma 120.00
_space_group_name_H-M_alt 'R -3 m'
_space_group_IT_number 166
_space_group_name_Hall '-R 3 2"'
loop_
_atom_site_label
_atom_site_fract_x
_atom_site_fract_y
_atom_site_fract_z
K1 0.0000 0.0000 0.1509
K2 0.0000 0.0000 0.2889
Tl1 0.0273 0.5136 0.1125
Tl2 0.0795 0.5398 0.7318
Cd1 0.0000 0.0000 0.0000
Cd2 0.0000 0.0000 0.5000
Pb1 0.0000 0.0000 0.3785
```

Computed properties:
* E_tot: -2.08 eV per atom
* M_tot: 0.00 μB per atom
* crystal system: trigonal
* ρ: 6.89 g cm⁻³
* ΔE_f: 2.41 kJ per mole of atoms

---

No. 8
Material: ZnIrCl6
Method: DFT, GGA-PBE
State: relaxed

The structure in CIF format:
```
data_ZnIrCl6
_cell_length_a 6.317
_cell_length_b 11.887
_cell_length_c 6.309
_cell_angle_alpha 90.00
_cell_angle_beta 112.85
_cell_angle_gamma 90.00
_space_group_name_H-M_alt 'C 1 2/m 1'
_space_group_IT_number 12
loop_
_space_group_symop_operation_xyz
'x,y,z'
'-x,-y,-z'
'-x,y,-z'
'x,-y,z'
'x+1/2,y+1/2,z'
'-x+1/2,-y+1/2,-z'
'-x+1/2,y+1/2,-z'
'x+1/2,-y+1/2,z'
loop_
_atom_site_label
_atom_site_fract_x
_atom_site_fract_y
_atom_site_fract_z
Zn1 0.000 0.000 0.000
Ir1 0.000 0.500 0.500
Cl1 0.219 0.500 0.281
Cl2 0.247 0.366 0.748
```

Computed properties:
* E_tot: -3.28 eV per atom
* M_tot: 0.10 μB per atom
* formation energy from raw total energies: -630 meV/atom
* crystal system: monoclinic
* ρ: 3.58 g cm⁻³